SmCoC | PBE-GGA | optimized geometry

Values from the calculation:
ΔE_f in meV per atom: 1
Space-group type: P-6m2 (187)

Unit cell a=3.459 b=3.459 c=4.111 alpha=90.00 beta=90.00 gamma=120.00
Sites, in units of the cell vectors:
Sm (0.000, 0.000, 0.000)
Co (0.667, 0.333, 0.500)
C (0.333, 0.667, 0.500)

=====

CaSiAu11 | PBE-GGA | optimized geometry

Values from the calculation:
Uncorrected formation energy in eV/atom: -0.168
Space-group type: C2/m (12)

Unit cell a=7.352 b=7.352 c=6.998 alpha=95.93 beta=95.93 gamma=136.39
Sites, in units of the cell vectors:
Ca (0.000, 0.000, 0.000)
Si (0.500, 0.500, 0.500)
Au (0.000, 0.000, 0.500)
Au (0.000, 0.500, 0.000)
Au (0.044, 0.688, 0.650)
Au (0.312, 0.956, 0.350)
Au (0.330, 0.538, 0.776)
Au (0.462, 0.670, 0.224)
Au (0.500, 0.000, 0.000)
Au (0.538, 0.330, 0.776)
Au (0.670, 0.462, 0.224)
Au (0.688, 0.044, 0.650)
Au (0.956, 0.312, 0.350)

=====

CoTc3Sb | PBE-GGA | optimized geometry

Values from the calculation:
Uncorrected formation energy in eV/atom: 1.168
Space-group type: Pm-3m (221)

Unit cell a=4.453 b=4.453 c=4.453 alpha=90.00 beta=90.00 gamma=90.00
Sites, in units of the cell vectors:
Co (0.000, 0.000, 0.000)
Tc (0.000, 0.000, 0.500)
Tc (0.000, 0.500, 0.000)
Tc (0.500, 0.000, 0.000)
Sb (0.500, 0.500, 0.500)

=====

AcLa4Tl3 | PBE-GGA | optimized geometry

Values from the calculation:
ΔE_f in meV per atom: -281
Space-group type: R-3m (166)

Unit cell a=10.150 b=10.150 c=10.150 alpha=32.64 beta=32.64 gamma=32.64
Sites, in units of the cell vectors:
Ac (0.000, 0.000, 0.000)
La (0.147, 0.147, 0.147)
La (0.391, 0.391, 0.391)
La (0.609, 0.609, 0.609)
La (0.853, 0.853, 0.853)
Tl (0.268, 0.268, 0.268)
Tl (0.500, 0.500, 0.500)
Tl (0.732, 0.732, 0.732)

=====

Number 1: electronic total energy -7.02 eV/atom. Number 2: electronic total energy -3.51 eV/atom. Number 3: electronic total energy -7.30 eV/atom. Number 4: electronic total energy -4.15 eV/atom.